Record 1
Entry from Alexandria via LeMat-Bulk: a geometry-optimized HfMgF structure (PBE).

The calculation puts the total energy at -5.65 eV/atom.

It has space group Amm2 (No. 38), with a = 14.744 Å, b = 3.009 Å, c = 5.233 Å, α = 90.00°, β = 90.00° and γ = 90.00°. The distinct sites, in fractional coordinates, are Hf at (0.182, 0.000, 0.000), Mg at (0.000, 0.000, 0.667), Mg at (0.500, 0.000, 0.803) and F at (0.422, 0.000, 0.470).

Record 2
Entry from Alexandria via LeMat-Bulk: a geometry-optimized KMn2Fe structure (PBE).

The calculation puts the total energy at -5.71 eV/atom. Its offset from the most stable computed form is 0.566 eV per atom. As for the formation energy: 1.2646 eV/atom.

It has space group P4/mmm (No. 123), with a = 5.111 Å, b = 5.111 Å, c = 2.869 Å, α = 90.00°, β = 90.00° and γ = 90.00°. The distinct sites, in fractional coordinates, are K at (0.000, 0.000, 0.000), Mn at (0.000, 0.500, 0.500) and Fe at (0.500, 0.500, 0.000).

Record 3
Entry from Alexandria via LeMat-Bulk: a geometry-optimized Cr3W structure (PBE).

The calculation puts the total energy at -10.36 eV/atom. As for the formation energy: 0.0913 eV/atom.

It has space group R-3m (No. 166, hexagonal axes), with a = 8.3053 Å, b = 8.3053 Å, c = 2.5967 Å, α = 90.00°, β = 90.00° and γ = 120.00°. The distinct sites, in fractional coordinates, are Cr at (0.0000, 0.5000, 0.0000) and W at (0.0000, 0.0000, 0.0000).

Record 4
Entry from Alexandria via LeMat-Bulk: a geometry-optimized K2PrHoTe4 structure (PBE).

The calculation puts the total energy at -4.41 eV/atom.

It has space group P2/m (No. 10), with a = 7.912 Å, b = 4.565 Å, c = 8.663 Å, α = 90.00°, β = 107.69° and γ = 90.00°. The distinct sites, in fractional coordinates, are K at (0.000, 0.000, 0.000), K at (0.500, 0.500, 0.000), Pr at (0.000, 0.500, 0.500), Ho at (0.500, 0.000, 0.500), Te at (0.247, 0.000, 0.714) and Te at (0.273, 0.500, 0.291).